PBE MnReGeH2, relaxed; calculated volume = 63.6 Å³ per cell; magnetic moment = 0.6847 μB/atom; DFT total energy = -5.952 eV/atom; Fermi-level density of states = 2.738 states/eV/f.u.
1.0
-2.495 0.557 2.319
-1.363 -5.159 -0.226
2.216 -0.698 2.552
Re Ge Mn H
1 1 1 2
Direct
0.000 0.500 0.000 Re
0.500 0.500 0.500 Ge
0.000 0.000 0.000 Mn
0.000 0.000 0.500 H
0.500 0.000 0.000 H